Entry 1:
The following is a GGA-PBE calculation of a geometry-optimized Sm6HoMg2 structure, from Alexandria.

The space group is C2/c (No. 15) and the conventional cell measures 15.059, 12.124 and 6.351 Å, with angles of 90.00, 100.29 and 90.00 degrees. The inequivalent atoms are Sm at (0.030, 0.136, 0.023), Sm at (0.116, 0.398, 0.276), Sm at (0.195, 0.250, 0.738), Ho at (0.000, 0.371, 0.750) and Mg at (0.193, 0.021, 0.397).

For the volume, the calculation gives 31.69 Å³/atom. Its total energy is -35.18 eV per formula unit. The calculation puts the formation energy at 9.67 kJ per mole of atoms.

Entry 2:
The following is a GGA-PBE calculation of a geometry-optimized LiCuS structure, from Alexandria.

The space group is I4/mmm (No. 139) and the conventional cell measures 10.167, 10.167 and 4.787 Å, with angles of 90.00, 90.00 and 90.00 degrees. The inequivalent atoms are Li at (0.000, 0.345, 0.000), Cu at (0.146, 0.146, 0.500) and S at (0.000, 0.298, 0.500).

For the volume, the calculation gives 20.62 Å³/atom. Its total energy is -12.22 eV per formula unit.

Entry 3:
The following is a GGA-PBE calculation of a geometry-optimized Ga2Mo2Os structure, from Alexandria.

The space group is P4/mbm (No. 127) and the conventional cell measures 6.700, 6.700 and 3.362 Å, with angles of 90.00, 90.00 and 90.00 degrees. The inequivalent atoms are Ga at (0.132, 0.368, 0.000), Mo at (0.168, 0.668, 0.500) and Os at (0.000, 0.000, 0.000).

For the volume, the calculation gives 15.09 Å³/atom. Its total energy is -37.96 eV per formula unit. The calculation puts the formation energy at 18.97 kJ per mole of atoms.

Entry 4:
The following is a GGA-PBE calculation of a geometry-optimized Cd3Pd6Au structure, from Alexandria.

The space group is Cmc2_1 (No. 36) and the conventional cell measures 9.165, 15.549 and 4.960 Å, with angles of 90.00, 90.00 and 90.00 degrees. The inequivalent atoms are Cd at (0.000, 0.101, 0.000), Cd at (0.166, 0.402, 0.617), Pd at (0.000, 0.204, 0.439), Pd at (0.000, 0.446, 0.136), Pd at (0.162, 0.050, 0.549), Pd at (0.247, 0.289, 0.225) and Au at (0.000, 0.283, 0.934).

For the volume, the calculation gives 17.67 Å³/atom. Its excess energy over the best structure of this formula in the dataset is 1.28 eV per formula unit. Its total energy is -38.80 eV per formula unit. The calculation puts the formation energy at -15.65 kJ per mole of atoms.

Entry 5:
The following is a GGA-PBE calculation of a geometry-optimized Y6C2S3N structure, from Alexandria.

The space group is C2/m (No. 12) and the conventional cell measures 16.531, 3.697 and 7.624 Å, with angles of 90.00, 105.83 and 90.00 degrees. The inequivalent atoms are Y at (0.009, 0.000, 0.229), Y at (0.159, 0.500, 0.104), Y at (0.175, 0.500, 0.562), C at (0.164, 0.000, 0.329), S at (0.000, 0.500, 0.500), S at (0.166, 0.000, 0.834) and N at (0.000, 0.500, 0.000).

For the volume, the calculation gives 18.68 Å³/atom. Its total energy is -95.94 eV per formula unit.

Entry 6:
The following is a GGA-PBE calculation of a geometry-optimized AcDy2Ho structure, from Alexandria.

The space group is P4/mmm (No. 123) and the conventional cell measures 4.086, 4.086 and 8.390 Å, with angles of 90.00, 90.00 and 90.00 degrees. The inequivalent atoms are Ac at (0.000, 0.000, 0.000), Dy at (0.500, 0.500, 0.280) and Ho at (0.000, 0.000, 0.500).

For the volume, the calculation gives 35.02 Å³/atom. Its excess energy over the best structure of this formula in the dataset is 0.22 eV per formula unit. Its total energy is -17.43 eV per formula unit. The calculation puts the formation energy at 11.10 kJ per mole of atoms.

Entry 7:
The following is a GGA-PBE calculation of a geometry-optimized RbTaCd structure, from Alexandria.

The space group is P-1 (No. 2) and the conventional cell measures 3.543, 3.547 and 15.110 Å, with angles of 90.20, 96.29 and 90.00 degrees. The inequivalent atoms are Rb at (0.088, 0.243, 0.152), Ta at (0.231, 0.249, 0.459) and Cd at (0.326, 0.252, 0.661).

For the volume, the calculation gives 31.46 Å³/atom. Its excess energy over the best structure of this formula in the dataset is 0.00 eV per formula unit. Its total energy is -12.56 eV per formula unit. The calculation puts the formation energy at 37.82 kJ per mole of atoms.

Entry 8:
The following is a GGA-PBE calculation of a geometry-optimized Ac3NiRh structure, from Alexandria.

The space group is Cmcm (No. 63) and the conventional cell measures 4.196, 13.823 and 10.893 Å, with angles of 90.00, 90.00 and 90.00 degrees. The inequivalent atoms are Ac at (0.000, 0.095, 0.250), Ac at (0.000, 0.360, 0.073), Ni at (0.000, 0.250, 0.750) and Rh at (0.000, 0.000, 0.000).

For the volume, the calculation gives 31.59 Å³/atom. Its excess energy over the best structure of this formula in the dataset is 0.10 eV per formula unit. Its total energy is -27.36 eV per formula unit. The calculation puts the formation energy at -36.62 kJ per mole of atoms.